No. 1
A plane-wave DFT calculation with PBE-GGA was carried out for Y2InCuS4 after structural relaxation. Values from VASP.

```
&SYSTEM
  ibrav = 0, nat = 16, ntyp = 4
/
ATOMIC_SPECIES
Y 88.91 Y.upf
In 114.82 In.upf
Cu 63.55 Cu.upf
S 32.06 S.upf
CELL_PARAMETERS angstrom
1.9693 -6.7463 0.0000
1.9693 6.7463 0.0000
0.0000 0.0000 13.7433
ATOMIC_POSITIONS angstrom
Y 1.9693 4.9412 7.7352
Y 1.9693 4.9412 12.8798
Y 1.9693 -4.9412 0.8635
Y 1.9693 -4.9412 6.0081
In 1.9693 1.4749 10.3075
In 1.9693 -1.4749 3.4358
Cu 1.9693 2.2013 3.4358
Cu 1.9693 -2.2013 10.3075
S 1.9693 5.8362 10.3075
S 1.9693 3.5584 1.5300
S 1.9693 3.5584 5.3416
S 1.9693 0.0000 0.0000
S 1.9693 0.0000 6.8716
S 1.9693 -3.5584 8.4016
S 1.9693 -3.5584 12.2133
S 1.9693 -5.8362 3.4358
```


No. 2
A plane-wave DFT calculation with PBE-GGA was carried out for Gd3Cl2 after structural relaxation. Values from VASP.

```
&SYSTEM
  ibrav = 0, nat = 10, ntyp = 2
/
ATOMIC_SPECIES
Gd 157.25 Gd.upf
Cl 35.45 Cl.upf
CELL_PARAMETERS angstrom
3.4524 1.9933 6.1834
-3.4524 1.9933 6.1834
0.0000 -3.9865 6.1834
ATOMIC_POSITIONS angstrom
Gd -2.2762 0.0441 7.7292
Gd -1.1763 -1.9492 10.8209
Gd 1.0999 -1.9933 7.7292
Gd -1.0999 1.9933 10.8209
Gd 1.1763 1.9492 7.7292
Gd 2.2762 -0.0441 10.8209
Cl 0.0000 0.0000 3.0680
Cl 0.0000 0.0000 6.2071
Cl 0.0000 0.0000 12.3430
Cl 0.0000 0.0000 15.4821
```


No. 3
A plane-wave DFT calculation with PBE-GGA was carried out for DyHo3Tl2N2 after structural relaxation. Values from VASP.

```
&SYSTEM
  ibrav = 0, nat = 8, ntyp = 4
/
ATOMIC_SPECIES
Dy 162.50 Dy.upf
Ho 164.93 Ho.upf
Tl 204.38 Tl.upf
N 14.01 N.upf
CELL_PARAMETERS angstrom
3.5177 0.0000 0.0000
-1.7588 3.0464 0.0000
0.0000 0.0000 15.7061
ATOMIC_POSITIONS angstrom
Dy 0.0000 0.0000 0.0000
Ho 0.0000 0.0000 5.2168
Ho 0.0000 2.0309 7.8503
Ho 0.0000 2.0309 13.0625
Tl 0.0000 0.0000 10.4545
Tl 0.0000 2.0309 2.6143
N 1.7588 1.0155 6.5337
N 1.7588 1.0155 14.3664
```


No. 4
A plane-wave DFT calculation with PBE-GGA was carried out for Zr3Sn2Au2 after structural relaxation. Values from VASP.

```
&SYSTEM
  ibrav = 0, nat = 7, ntyp = 3
/
ATOMIC_SPECIES
Zr 91.22 Zr.upf
Sn 118.71 Sn.upf
Au 196.97 Au.upf
CELL_PARAMETERS angstrom
2.4108 1.3919 7.9582
-2.4108 1.3919 7.9582
0.0000 -2.7838 7.9582
ATOMIC_POSITIONS angstrom
Zr 0.0000 0.0000 0.0000
Zr 0.0000 0.0000 5.9526
Zr 0.0000 0.0000 11.9448
Sn 0.0000 0.0000 2.8772
Sn 0.0000 0.0000 14.9761
Au 0.0000 0.0000 9.1082
Au 0.0000 0.0000 20.5467
```


Number 1: uncorrected energy -94.32 eV for the cell shown. Number 2: uncorrected energy -45.37 eV for the cell shown. Number 3: uncorrected energy -47.78 eV for the cell shown. Number 4: uncorrected energy -42.43 eV for the cell shown.